Co2RhAu | PBE | optimized geometry

Values from the calculation:
DOS at the Fermi energy	6.3	states/eV/cell
electronic total energy	-24.2	eV per cell
crystal system	tetragonal

Structure (CIF):
```
data_Co2RhAu
_symmetry_space_group_name_H-M 'P 4/m m m'
_symmetry_Int_Tables_number 123
_symmetry_space_group_name_Hall '-P 4 2'
_cell_length_a 2.726
_cell_length_b 2.726
_cell_length_c 7.424
_cell_angle_alpha 90.00
_cell_angle_beta 90.00
_cell_angle_gamma 90.00
loop_
_atom_site_label
_atom_site_fract_x
_atom_site_fract_y
_atom_site_fract_z
Co1 0.000 0.000 0.235
Rh1 0.500 0.500 0.000
Au1 0.500 0.500 0.500
```